# MnCdN2F

Crystalline MnCdN2F at its relaxed geometry (GGA-PBEsol, Alexandria via LeMat-Bulk).

Computed properties:
For the density of states at the Fermi level, the calculation gives 3.0 states/eV/cell. As for the uncorrected formation energy: -0.11 eV per atom.

Cell: 3.6373 3.6373 4.0387 Å, 90.00 90.00 90.00°
Atoms (fractional coordinates):
Mn  0.0000  0.0000  0.0000
Cd  0.5000  0.5000  0.5000
N  0.0000  0.5000  0.0000
N  0.5000  0.0000  0.0000
F  0.0000  0.0000  0.5000